1.
A plane-wave DFT calculation with PBE with a Hubbard U was carried out for a geometry-optimized Cs2NiAs2O6 structure.

- size of the total moment (μB/cell) = 2.00
- total DFT energy (no corrections) (eV/cell) = -57.5
- density (Mg/m³) = 5.1
- V (Å³ per cell) = 184.3

Cell: 6.002 6.002 6.849 Å, 64.01 64.01 60.00°
Atoms (fractional coordinates):
1 Cs 0.778 0.778 0.665
2 Cs 0.222 0.222 0.335
3 Ni 0.000 0.000 0.000
4 As 0.427 0.427 0.718
5 As 0.573 0.573 0.282
6 O 0.758 0.758 0.209
7 O 0.276 0.758 0.209
8 O 0.758 0.276 0.209
9 O 0.242 0.724 0.791
10 O 0.724 0.242 0.791
11 O 0.242 0.242 0.791



2.
A plane-wave DFT calculation with PBE with a Hubbard U was carried out for a geometry-optimized CsNiAsO4 structure.

- size of the total moment (μB/cell) = 4.03
- total DFT energy (no corrections) (eV/cell) = -74.9
- density (Mg/m³) = 4.4
- V (Å³ per cell) = 247.3
- N(E_F) (states/eV/atom) = 0.000

Cell: 5.234 5.851 8.770 Å, 90.00 112.93 90.00°
Atoms (fractional coordinates):
1 Cs 0.587 0.750 0.875
2 Cs 0.413 0.250 0.125
3 Ni 0.875 0.750 0.504
4 Ni 0.125 0.250 0.496
5 As 0.190 0.750 0.316
6 As 0.810 0.250 0.684
7 O 0.018 0.474 0.660
8 O 0.982 0.974 0.340
9 O 0.982 0.526 0.340
10 O 0.018 0.026 0.660
11 O 0.221 0.750 0.132
12 O 0.779 0.250 0.868
13 O 0.492 0.750 0.489
14 O 0.508 0.250 0.511



Q: Which of these has the lowest density?
A: CsNiAsO4